# ScTe2 PBE relaxed
data_ScTe2
_chemical_formula_sum 'Sc4 Te8'
_cell_length_a 3.714
_cell_length_b 3.714
_cell_length_c 25.236
_cell_angle_alpha 90.00
_cell_angle_beta 90.00
_cell_angle_gamma 90.00
_space_group_name_H-M_alt 'I 41/a m d'
_space_group_IT_number 141
loop_
_space_group_symop_operation_xyz
'x,y,z'
'-x,-y,-z'
'-y+1/4,x+3/4,z+1/4'
'y+1/4,-x+3/4,-z+1/4'
'-x+1/2,-y,z+1/2'
'x+1/2,y,-z+1/2'
'y+1/4,-x+1/4,z+3/4'
'-y+1/4,x+1/4,-z+3/4'
'x,-y,-z'
'-x,y,z'
'-y+1/4,-x+1/4,-z+3/4'
'y+1/4,x+1/4,z+3/4'
'-x+1/2,y,-z+1/2'
'x+1/2,-y,z+1/2'
'y+1/4,x+3/4,-z+1/4'
'-y+1/4,-x+3/4,z+1/4'
'x+1/2,y+1/2,z+1/2'
'-x+1/2,-y+1/2,-z+1/2'
'-y+3/4,x+1/4,z+3/4'
'y+3/4,-x+1/4,-z+3/4'
'-x,-y+1/2,z'
'x,y+1/2,-z'
'y+3/4,-x+3/4,z+1/4'
'-y+3/4,x+3/4,-z+1/4'
'x+1/2,-y+1/2,-z+1/2'
'-x+1/2,y+1/2,z+1/2'
'-y+3/4,-x+3/4,-z+1/4'
'y+3/4,x+3/4,z+1/4'
'-x,y+1/2,-z'
'x,-y+1/2,z'
'y+3/4,x+1/4,-z+3/4'
'-y+3/4,-x+1/4,z+3/4'
loop_
_atom_site_label
_atom_site_type_symbol
_atom_site_fract_x
_atom_site_fract_y
_atom_site_fract_z
_atom_site_occupancy
Sc1 Sc 0.000 0.250 0.375 1
Te1 Te 0.000 0.250 0.811 1
# Total magnetic moment: 0.00 μB/cell
# E: -5.00 eV/atom
# Energy relative to the elements, uncorrected: -76.5 kJ/mol of atoms